[1]
Compound: MgZnCd5
Source: Alexandria via LeMat-Bulk
Functional: PBE-GGA
Structure: optimized geometry

- Symmetry: Imm2 (44)
- Fermi-level density of states: 2.1 states/eV/f.u.
- Total moment: 0.00 μB per cell
- E_form: 27.52 kJ per mole of atoms
- V: 224.34 Å³/f.u.

a = 7.0928 Å, b = 7.0928 Å, c = 7.0928 Å
α = 134.86°, β = 84.85°, γ = 112.60°
Atoms (fractional coordinates):
Mg1 0.0000 0.0000 0.0000
Zn1 0.6659 0.1659 0.5000
Cd1 0.0467 0.7966 0.2501
Cd2 0.3243 0.0745 0.7503
Cd3 0.3243 0.5740 0.2497
Cd4 0.5465 0.7966 0.7499
Cd5 0.6502 0.6502 0.0000

***

[2]
Compound: Ce3ThHg2
Source: Alexandria via LeMat-Bulk
Functional: PBE-GGA
Structure: optimized geometry

- Symmetry: Cmmm (65)
- Fermi-level density of states: 18.4 states/eV/f.u.
- Total moment: 1.02 μB per cell
- E_form: -15.24 kJ per mole of atoms
- V: 166.67 Å³/f.u.

a = 8.9793 Å, b = 8.9793 Å, c = 3.4721 Å
α = 90.00°, β = 90.00°, γ = 143.46°
Atoms (fractional coordinates):
Ce1 0.0000 0.0000 0.0000
Ce2 0.3273 0.6727 0.0000
Ce3 0.6727 0.3273 0.0000
Th1 0.5000 0.5000 0.5000
Hg1 0.1593 0.8407 0.5000
Hg2 0.8407 0.1593 0.5000

***

[3]
Compound: CoTePtI2
Source: Alexandria via LeMat-Bulk
Functional: PBE-GGA
Structure: optimized geometry

- Symmetry: P4/mmm (123)
- Formation energy (no corrections): 0.867 eV/atom
- Fermi-level density of states: 8.9 states/eV/f.u.
- Total moment: 0.00 μB per cell
- V: 130.99 Å³/f.u.

a = 5.2167 Å, b = 5.2167 Å, c = 4.8133 Å
α = 90.00°, β = 90.00°, γ = 90.00°
Atoms (fractional coordinates):
Co1 0.0000 0.0000 0.0000
Te1 0.0000 0.0000 0.5000
Pt1 0.5000 0.5000 0.5000
I1 0.0000 0.5000 0.0000
I2 0.5000 0.0000 0.0000

***

[4]
Compound: CoPdSN2
Source: Alexandria via LeMat-Bulk
Functional: PBE-GGA
Structure: optimized geometry

- Symmetry: P4/mmm (123)
- Formation energy (no corrections): 0.974 eV/atom
- Fermi-level density of states: 3.8 states/eV/f.u.
- Total moment: 0.09 μB per cell
- V: 74.91 Å³/f.u.

a = 3.4582 Å, b = 3.4582 Å, c = 6.2635 Å
α = 90.00°, β = 90.00°, γ = 90.00°
Atoms (fractional coordinates):
Co1 0.0000 0.0000 0.0000
Pd1 0.5000 0.5000 0.5000
S1 0.0000 0.0000 0.5000
N1 0.0000 0.5000 0.0000
N2 0.5000 0.0000 0.0000

***

[5]
Compound: Fe3Se
Source: Alexandria via LeMat-Bulk
Functional: PBE-GGA
Structure: optimized geometry

- Symmetry: Pm-3n (223)
- Formation energy (no corrections): 0.198 eV/atom
- Fermi-level density of states: 3.4 states/eV/f.u.
- Total moment: 16.28 μB per cell
- V: 52.42 Å³/f.u.

a = 4.7152 Å, b = 4.7152 Å, c = 4.7152 Å
α = 90.00°, β = 90.00°, γ = 90.00°
Atoms (fractional coordinates):
Fe1 0.0000 0.2500 0.5000
Fe2 0.0000 0.7500 0.5000
Fe3 0.2500 0.5000 0.0000
Fe4 0.5000 0.0000 0.2500
Fe5 0.5000 0.0000 0.7500
Fe6 0.7500 0.5000 0.0000
Se1 0.0000 0.0000 0.0000
Se2 0.5000 0.5000 0.5000

***

[6]
Compound: TlAgBr
Source: Alexandria via LeMat-Bulk
Functional: PBE-GGA
Structure: optimized geometry

- Symmetry: P3m1 (156)
- Formation energy (no corrections): -0.196 eV/atom
- Fermi-level density of states: 1.1 states/eV/f.u.
- Total moment: 0.00 μB per cell
- V: 86.35 Å³/f.u.

a = 4.1679 Å, b = 4.1679 Å, c = 5.7400 Å
α = 90.00°, β = 90.00°, γ = 120.00°
Atoms (fractional coordinates):
Tl1 0.0000 0.0000 0.0000
Ag1 0.3333 0.6667 0.2944
Br1 0.6667 0.3333 0.5599

***

[7]
Compound: Tl3ReAs
Source: Alexandria via LeMat-Bulk
Functional: PBE-GGA
Structure: optimized geometry

- Symmetry: Pm-3m (221)
- Fermi-level density of states: 3.7 states/eV/f.u.
- Total moment: 3.98 μB per cell
- E_form: 144.04 kJ per mole of atoms
- V: 161.40 Å³/f.u.

a = 5.4446 Å, b = 5.4446 Å, c = 5.4446 Å
α = 90.00°, β = 90.00°, γ = 90.00°
Atoms (fractional coordinates):
Tl1 0.0000 0.0000 0.5000
Tl2 0.0000 0.5000 0.0000
Tl3 0.5000 0.0000 0.0000
Re1 0.5000 0.5000 0.5000
As1 0.0000 0.0000 0.0000

***

[8]
Compound: ErZrPd
Source: Alexandria via LeMat-Bulk
Functional: PBE-GGA
Structure: optimized geometry

- Symmetry: I4mm (107)
- Fermi-level density of states: 3.6 states/eV/f.u.
- Total moment: 0.00 μB per cell
- E_form: -43.94 kJ per mole of atoms
- V: 66.10 Å³/f.u.

a = 6.0993 Å, b = 6.0993 Å, c = 6.0993 Å
α = 147.27°, β = 147.27°, γ = 46.97°
Atoms (fractional coordinates):
Er1 0.0000 0.0000 0.0000
Zr1 0.3025 0.3025 0.0000
Pd1 0.6628 0.6628 0.0000

***

[9]
Compound: Pr2MgCu6
Source: Alexandria via LeMat-Bulk
Functional: PBE-GGA
Structure: optimized geometry

- Symmetry: C2/m (12)
- Fermi-level density of states: 5.5 states/eV/f.u.
- Total moment: 0.00 μB per cell
- E_form: -8.97 kJ per mole of atoms
- V: 164.08 Å³/f.u.

a = 5.7541 Å, b = 5.7541 Å, c = 5.7281 Å
α = 90.03°, β = 90.03°, γ = 59.90°
Atoms (fractional coordinates):
Pr1 0.1666 0.1666 0.1590
Pr2 0.8334 0.8334 0.8410
Mg1 0.5000 0.5000 0.0000
Cu1 0.1311 0.6844 0.3501
Cu2 0.3147 0.3147 0.6501
Cu3 0.3156 0.8689 0.6499
Cu4 0.6844 0.1311 0.3501
Cu5 0.6853 0.6853 0.3499
Cu6 0.8689 0.3156 0.6499

***

[10]
Compound: Er2Mn2Ni15
Source: Alexandria via LeMat-Bulk
Functional: PBE-GGA
Structure: optimized geometry

- Symmetry: R-3m (166)
- Fermi-level density of states: 19.9 states/eV/f.u.
- Total moment: 13.23 μB per cell
- E_form: -21.48 kJ per mole of atoms
- V: 242.18 Å³/f.u.

a = 6.2815 Å, b = 6.2815 Å, c = 6.2815 Å
α = 82.62°, β = 82.62°, γ = 82.62°
Atoms (fractional coordinates):
Er1 0.1541 0.1541 0.1541
Er2 0.8459 0.8459 0.8459
Mn1 0.3980 0.3980 0.3980
Mn2 0.6020 0.6020 0.6020
Ni1 0.0000 0.5000 0.5000
Ni2 0.1545 0.1545 0.6549
Ni3 0.1545 0.6549 0.1545
Ni4 0.2028 0.5000 0.7972
Ni5 0.2028 0.7972 0.5000
Ni6 0.3451 0.8455 0.8455
Ni7 0.5000 0.0000 0.5000
Ni8 0.5000 0.2028 0.7972
Ni9 0.5000 0.5000 0.0000
Ni10 0.5000 0.7972 0.2028
Ni11 0.6549 0.1545 0.1545
Ni12 0.7972 0.2028 0.5000
Ni13 0.7972 0.5000 0.2028
Ni14 0.8455 0.3451 0.8455
Ni15 0.8455 0.8455 0.3451